Record 1
An optimized crystal structure of NbC3Se. Source: Alexandria via LeMat-Bulk, functional PBE-GGA.

Unit cell a=4.259 b=4.259 c=4.259 alpha=90.00 beta=90.00 gamma=90.00
Positions (direct):
Se1 0.500 0.500 0.500
C1 0.000 0.500 0.000
C2 0.000 0.000 0.500
C3 0.500 0.000 0.000
Nb1 0.000 0.000 0.000

Output
D(E_F), states/eV/cell: 4.219
Energy relative to the elements, uncorrected, eV per atom: 2.30
M_tot, μB per formula unit: 0.00

Record 2
An optimized crystal structure of Nb3CSe3. Source: Alexandria via LeMat-Bulk, functional PBE-GGA.

Unit cell a=3.406 b=7.403 c=10.140 alpha=90.73 beta=90.00 gamma=90.00
Positions (direct):
Se1 0.750 0.615 0.629
Se2 0.250 0.385 0.371
Se3 0.750 0.618 0.126
Se4 0.250 0.382 0.874
Se5 0.750 0.134 0.124
Se6 0.250 0.866 0.876
C1 0.250 0.890 0.390
C2 0.750 0.110 0.610
Nb1 0.250 0.913 0.605
Nb2 0.250 0.875 0.173
Nb3 0.750 0.694 0.376
Nb4 0.750 0.125 0.827
Nb5 0.750 0.087 0.395
Nb6 0.250 0.306 0.624

Output
D(E_F), states/eV/cell: 6.284
Energy relative to the elements, uncorrected, eV per atom: -0.76
M_tot, μB per formula unit: 0.00

Record 3
An optimized crystal structure of Nb4CSe. Source: Alexandria via LeMat-Bulk, functional PBE-GGA.

Unit cell a=5.504 b=6.136 c=7.037 alpha=109.50 beta=106.09 gamma=105.15
Positions (direct):
Nb1 0.718 0.094 0.429
Nb2 0.790 0.665 0.571
Nb3 0.210 0.335 0.429
Nb4 0.040 0.826 0.096
Nb5 0.960 0.174 0.904
Nb6 0.444 0.730 0.904
Nb7 0.282 0.906 0.571
Nb8 0.556 0.270 0.096
C1 0.184 0.934 0.867
C2 0.816 0.066 0.133
Se1 0.632 0.382 0.765
Se2 0.368 0.618 0.235

Output
D(E_F), states/eV/cell: 7.674
Energy relative to the elements, uncorrected, eV per atom: -0.26
M_tot, μB per formula unit: 0.00

Record 4
An optimized crystal structure of NbCSe. Source: Alexandria via LeMat-Bulk, functional PBE-GGA.

Unit cell a=3.677 b=5.121 c=11.320 alpha=90.00 beta=90.00 gamma=90.00
Positions (direct):
Nb1 0.750 0.542 0.891
Nb2 0.250 0.042 0.609
Nb3 0.750 0.958 0.391
Nb4 0.250 0.458 0.109
Se1 0.250 0.547 0.698
Se2 0.750 0.047 0.802
Se3 0.250 0.953 0.198
Se4 0.750 0.453 0.302
C1 0.750 0.330 0.048
C2 0.750 0.170 0.548
C3 0.250 0.670 0.952
C4 0.250 0.830 0.452

Output
D(E_F), states/eV/cell: 3.911
Energy relative to the elements, uncorrected, eV per atom: 0.14
M_tot, μB per formula unit: 0.00

Record 5
An optimized crystal structure of NbCSe2. Source: Alexandria via LeMat-Bulk, functional PBE-GGA.

Unit cell a=5.568 b=5.568 c=6.259 alpha=63.59 beta=63.59 gamma=90.00
Positions (direct):
C1 0.250 0.750 0.500
C2 0.500 0.500 0.000
Se1 0.185 0.625 0.250
Se2 0.375 0.435 0.750
Se3 0.875 0.815 0.750
Se4 0.565 0.125 0.250
Nb1 0.000 0.000 0.000
Nb2 0.750 0.250 0.500

Output
D(E_F), states/eV/cell: 7.576
Energy relative to the elements, uncorrected, eV per atom: 0.96
M_tot, μB per formula unit: 0.00

Record 6
An optimized crystal structure of Nb6Si2C. Source: Alexandria via LeMat-Bulk, functional PBE-GGA.

Unit cell a=5.399 b=6.533 c=8.186 alpha=90.00 beta=90.51 gamma=90.00
Positions (direct):
Nb1 0.653 0.169 0.548
Nb2 0.347 0.831 0.452
Nb3 0.151 0.310 0.450
Nb4 0.112 0.014 0.758
Nb5 0.849 0.690 0.550
Nb6 0.388 0.514 0.742
Nb7 0.153 0.331 0.048
Nb8 0.847 0.669 0.952
Nb9 0.888 0.986 0.242
Nb10 0.349 0.810 0.050
Nb11 0.612 0.486 0.258
Nb12 0.651 0.190 0.950
Si1 0.569 0.885 0.755
Si2 0.069 0.615 0.255
Si3 0.431 0.115 0.245
Si4 0.931 0.385 0.745
C1 0.000 0.000 0.500
C2 0.500 0.500 0.000

Output
D(E_F), states/eV/cell: 8.361
Energy relative to the elements, uncorrected, eV per atom: -0.48
M_tot, μB per formula unit: 0.00

Question: What is the energy relative to the elements, uncorrected in the third record?
Answer: -0.26 eV per atom